SrSn3Hg2 | GGA-PBE | optimized geometry

a b c (Å): 6.176 6.176 5.476
angles (deg): 90.00 90.00 120.00
Atoms (fractional coordinates):
Sr1 0.000 0.000 0.000
Sn1 0.000 0.500 0.500
Sn2 0.500 0.000 0.500
Sn3 0.500 0.500 0.500
Hg1 0.333 0.667 0.000
Hg2 0.667 0.333 0.000

Summary:
Electronic total energy = -15.4 eV/cell
Space-group type = No. 191
Formation enthalpy at 0 K = -108 kJ/mol of formula units
Magnetization = 0.00 μB/cell